(1)
14
Lattice="-4.261 -3.569 -6.072 3.516 -5.839 -4.615 -2.985 -9.048 1.832" Properties=species:S:1:pos:R:3 comment="Cs2Pa3TlS8, relaxed, DFT PBE" e_form_raw_ev_per_atom=-1.4355 space_group=R3m pbc="T T T"
Pa -0.387 -4.735 -5.313
S -3.043 -14.373 -6.157
S -1.094 -8.749 -7.798
Cs -1.888 -9.279 -4.381
S -4.599 -11.431 -3.724
S -2.683 -9.825 -0.993
S -1.101 -12.452 -3.069
S -2.699 -6.083 -5.691
S 0.852 -7.119 -5.025
Tl -1.678 -11.425 -8.847
Pa 1.373 -7.657 -7.623
S -0.728 -4.172 -2.617
Pa -2.519 -6.521 -8.352
Cs -1.867 -6.633 -0.372

***

(2)
12
Lattice="7.412 -0.011 0.017 -3.714 6.414 0.017 -1.216 -2.105 7.996" Properties=species:S:1:pos:R:3 comment="Cs3PaTl2S6, relaxed, DFT PBE" e_form_raw_ev_per_atom=-0.9997 space_group=C2/m pbc="T T T"
S 2.223 0.009 1.502
Tl 0.019 4.258 0.017
S 2.606 4.513 1.588
S 0.259 4.289 6.527
S -0.124 -0.215 6.442
Cs 4.820 0.082 4.015
Cs -2.338 4.216 4.015
Pa 0.000 0.000 0.000
S 3.586 2.368 6.527
Cs 1.241 2.149 4.015
Tl 3.678 2.145 0.017
S -1.103 1.930 1.502

***

(3)
18
Lattice="4.179 0.000 0.000 -2.090 10.160 0.000 0.000 0.000 14.843" Properties=species:S:1:pos:R:3 comment="Cs2PaTlS5, relaxed, DFT PBE" e_form_raw_ev_per_atom=-1.1181 space_group=Cmc2_1 pbc="T T T"
Pa 2.090 5.935 7.725
Cs 0.000 2.329 10.085
S 2.090 0.068 11.771
S 2.090 3.942 13.376
Cs 2.090 7.831 2.663
Tl 0.000 8.945 6.446
S 2.090 8.733 8.055
S 0.000 5.950 9.390
S 0.000 6.218 5.955
S 0.000 1.427 0.633
Tl 2.090 1.215 13.868
S 0.000 6.674 0.052
S 2.090 4.210 1.968
S 2.090 3.486 7.473
S 0.000 10.092 4.349
Cs 0.000 2.687 4.702
Pa 0.000 4.225 0.304
Cs 2.090 7.473 12.123